1.
Compound: H2Os2Cl
Source: Alexandria
Functional: PBE-GGA
Structure: optimized geometry

```
H2Os2Cl
1.0
-1.8311 1.8311 4.9722
1.8311 -1.8311 4.9722
1.8311 1.8311 -4.9722
H Os Cl
2 2 1
Direct
0.1787 0.1787 0.0000
0.8213 0.8213 0.0000
0.2500 0.7500 0.5000
0.7500 0.2500 0.5000
0.5000 0.5000 0.0000
```

Results
Its energy above the most stable polymorph in this dataset is 0.00 eV/f.u. Its space group is I4/mmm. As for the mass density: 10.4 Mg/m³. Its crystal system is tetragonal. The value obtained for the density of states at the Fermi level is 0.953 states/eV per atom.


2.
Compound: Ce2HRu
Source: Alexandria
Functional: PBE-GGA
Structure: optimized geometry

```
Ce2HRu
1.0
8.1861 0.0000 0.0000
0.0000 5.3180 0.0000
-0.0265 0.0000 6.4433
Ce H Ru
8 4 4
Direct
0.1107 0.2500 0.0015
0.1107 0.2500 0.5015
0.3250 0.7501 0.9998
0.3250 0.7499 0.4998
0.6750 0.2499 0.0002
0.6750 0.2501 0.5002
0.8893 0.7500 0.4985
0.8893 0.7500 0.9985
0.0950 0.5998 0.2502
0.0950 0.9002 0.7502
0.9050 0.0998 0.2498
0.9050 0.4002 0.7498
0.3958 0.2458 0.2502
0.3958 0.2542 0.7502
0.6042 0.7458 0.2498
0.6042 0.7542 0.7498
```

Results
Its energy above the most stable polymorph in this dataset is 0.07 eV/f.u. Its space group is P2_1/c. As for the mass density: 9.1 Mg/m³. Its crystal system is monoclinic. The value obtained for the density of states at the Fermi level is 1.465 states/eV per atom.


3.
Compound: MgNpCdIn
Source: Alexandria
Functional: PBE-GGA
Structure: optimized geometry

```
MgNpCdIn
1.0
0.0000 3.6597 3.6597
3.6597 0.0000 3.6597
3.6597 3.6597 0.0000
Mg Np Cd In
1 1 1 1
Direct
0.0000 0.0000 0.0000
0.5000 0.5000 0.5000
0.2500 0.2500 0.2500
0.7500 0.7500 0.7500
```

Results
Its space group is F-43m. As for the mass density: 8.3 Mg/m³. Its crystal system is cubic. The value obtained for the density of states at the Fermi level is 2.280 states/eV per atom. The calculation puts the formation energy at 0.12 eV/atom.


4.
Compound: LiSn2Ru
Source: Alexandria
Functional: PBE-GGA
Structure: optimized geometry

```
LiSn2Ru
1.0
2.1755 1.2560 5.1244
-2.1755 1.2560 5.1244
0.0000 -2.5120 5.1244
Li Sn Ru
1 2 1
Direct
0.0000 0.0000 0.0000
0.5771 0.5771 0.5771
0.7810 0.7810 0.7810
0.1857 0.1857 0.1857
```

Results
Its space group is R3m. As for the mass density: 6.8 Mg/m³. Its crystal system is trigonal. The value obtained for the density of states at the Fermi level is 0.379 states/eV per atom. The calculation puts the formation energy at -0.11 eV/atom.


5.
Compound: Sc11Co4Sn9
Source: Alexandria
Functional: PBE-GGA
Structure: optimized geometry

```
Sc11Co4Sn9
1.0
6.8615 -10.2517 0.0000
6.8615 10.2517 0.0000
0.0000 0.0000 3.4329
Sc Co Sn
11 4 9
Direct
0.0000 0.0000 0.0000
0.0790 0.4173 0.0000
0.1563 0.8437 0.0000
0.3152 0.3152 0.0000
0.3754 0.6246 0.0000
0.4173 0.0790 0.0000
0.5827 0.9210 0.0000
0.6246 0.3754 0.0000
0.6848 0.6848 0.0000
0.8437 0.1563 0.0000
0.9210 0.5827 0.0000
0.2433 0.4493 0.5000
0.4493 0.2433 0.5000
0.5507 0.7567 0.5000
0.7567 0.5507 0.5000
0.0754 0.2227 0.5000
0.1533 0.6281 0.5000
0.2227 0.0754 0.5000
0.3719 0.8467 0.5000
0.5000 0.5000 0.5000
0.6281 0.1533 0.5000
0.7773 0.9246 0.5000
0.8467 0.3719 0.5000
0.9246 0.7773 0.5000
```

Results
Its space group is Cmmm. As for the mass density: 6.2 Mg/m³. Its crystal system is orthorhombic. The value obtained for the density of states at the Fermi level is 0.676 states/eV per atom. The calculation puts the formation energy at -0.54 eV/atom.


6.
Compound: NdTiAg2
Source: Alexandria
Functional: PBE-GGA
Structure: optimized geometry

```
NdTiAg2
1.0
3.4446 0.0000 0.0000
0.0000 3.4446 0.0000
0.0000 0.0000 7.3078
Nd Ti Ag
1 1 2
Direct
0.0000 0.0000 0.0000
0.0000 0.0000 0.5000
0.5000 0.5000 0.2961
0.5000 0.5000 0.7039
```

Results
Its space group is P4/mmm. As for the mass density: 7.8 Mg/m³. Its crystal system is tetragonal. The value obtained for the density of states at the Fermi level is 1.064 states/eV per atom. The calculation puts the formation energy at 0.01 eV/atom.


7.
Compound: Th2Zn5Co
Source: Alexandria
Functional: PBE-GGA
Structure: optimized geometry

```
Th2Zn5Co
1.0
2.1194 -8.0908 0.0000
2.1194 8.0908 0.0000
0.0000 0.0000 8.9756
Th Zn Co
4 10 2
Direct
0.0000 0.0000 0.0000
0.0000 0.0000 0.5000
0.1871 0.8129 0.7500
0.8129 0.1871 0.2500
0.1904 0.8096 0.1094
0.1904 0.8096 0.3906
0.3526 0.6474 0.0175
0.3526 0.6474 0.4825
0.4069 0.5931 0.7500
0.5931 0.4069 0.2500
0.6474 0.3526 0.5175
0.6474 0.3526 0.9825
0.8096 0.1904 0.6094
0.8096 0.1904 0.8906
0.4404 0.5596 0.2500
0.5596 0.4404 0.7500
```

Results
Its space group is Cmcm. As for the mass density: 9.2 Mg/m³. Its crystal system is orthorhombic. The value obtained for the density of states at the Fermi level is 0.725 states/eV per atom. The calculation puts the formation energy at -0.23 eV/atom.


8.
Compound: Ac2CuSiNi6
Source: Alexandria
Functional: PBE-GGA
Structure: optimized geometry

```
Ac2CuSiNi6
1.0
5.7124 -2.5300 0.0000
5.7124 2.5300 0.0000
-5.3338 0.0000 5.9577
Ac Cu Si Ni
2 1 1 6
Direct
0.2392 0.2392 0.1913
0.7608 0.7608 0.8087
0.5000 0.5000 0.0000
0.0000 0.0000 0.5000
0.2329 0.7183 0.7112
0.2500 0.2500 0.5926
0.2817 0.7671 0.2888
0.7183 0.2329 0.7112
0.7500 0.7500 0.4074
0.7671 0.2817 0.2888
```

Results
Its space group is C2/m. As for the mass density: 8.7 Mg/m³. Its crystal system is monoclinic. The value obtained for the density of states at the Fermi level is 0.380 states/eV per atom. The value obtained for the total energy is -5.596 eV/atom.


9.
Compound: HoU2C3
Source: Alexandria
Functional: PBE-GGA
Structure: optimized geometry

```
HoU2C3
1.0
6.1064 0.0000 0.0000
0.0000 3.2727 0.0000
0.0000 0.0000 9.0492
Ho U C
2 4 6
Direct
0.2500 0.0000 0.0721
0.7500 0.0000 0.9279
0.2500 0.0000 0.7166
0.2500 0.5000 0.3917
0.7500 0.0000 0.2834
0.7500 0.5000 0.6083
0.0000 0.0000 0.5000
0.0059 0.5000 0.8107
0.4941 0.5000 0.8107
0.5000 0.0000 0.5000
0.5059 0.5000 0.1893
0.9941 0.5000 0.1893
```

Results
Its energy above the most stable polymorph in this dataset is 0.97 eV/f.u. Its space group is Pmma. As for the mass density: 12.4 Mg/m³. Its crystal system is orthorhombic. The value obtained for the density of states at the Fermi level is 1.169 states/eV per atom. The calculation puts the formation energy at -0.05 eV/atom.


10.
Compound: Rb4Pu3InTe8
Source: Alexandria
Functional: PBE-GGA
Structure: optimized geometry

```
Rb4Pu3InTe8
1.0
4.6114 2.6624 8.4497
-4.6114 2.6624 8.4497
0.0000 -5.3248 8.4497
Rb Pu In Te
4 3 1 8
Direct
0.0000 0.0000 0.0000
0.0000 0.5000 0.5000
0.5000 0.0000 0.5000
0.5000 0.5000 0.0000
0.0000 0.0000 0.5000
0.0000 0.5000 0.0000
0.5000 0.0000 0.0000
0.5000 0.5000 0.5000
0.2328 0.2328 0.2328
0.2330 0.7312 0.7312
0.2688 0.2688 0.7670
0.2688 0.7670 0.2688
0.7312 0.2330 0.7312
0.7312 0.7312 0.2330
0.7670 0.2688 0.2688
0.7672 0.7672 0.7672
```

Results
Its space group is R-3m. As for the mass density: 5.9 Mg/m³. Its crystal system is trigonal. The value obtained for the density of states at the Fermi level is 2.466 states/eV per atom. The value obtained for the total energy is -5.633 eV/atom.